*1*
Zr3BeRu, optimized geometry, DFT PBE-GGA; theoretical density = 6.4 g/cm³
1.0
4.624 0.000 0.000
0.000 4.624 0.000
0.000 0.000 4.624
Zr Be Ru
3 1 1
Direct
0.000 0.000 0.500 Zr
0.000 0.500 0.000 Zr
0.500 0.000 0.000 Zr
0.000 0.000 0.000 Be
0.500 0.500 0.500 Ru

*2*
Zr3BeRu, optimized geometry, DFT PBE-GGA; theoretical density = 5.2 g/cm³
1.0
4.978 0.000 0.000
0.000 4.978 0.000
0.000 0.000 4.978
Zr Be Ru
3 1 1
Direct
0.000 0.000 0.500 Zr
0.000 0.500 0.000 Zr
0.500 0.000 0.000 Zr
0.500 0.500 0.500 Be
0.000 0.000 0.000 Ru

Most stable = *1*

*1*
BeS4, optimized geometry, DFT PBE-GGA; theoretical density = 1.7 g/cm³
1.0
5.329 -2.412 0.000
5.329 2.412 0.000
-5.143 0.000 5.374
Be S
1 4
Direct
0.000 0.000 0.000 Be
0.215 0.215 0.436 S
0.246 0.246 0.191 S
0.754 0.754 0.809 S
0.785 0.785 0.564 S

*2*
BeS4, optimized geometry, DFT PBE-GGA; theoretical density = 2.9 g/cm³
1.0
4.280 0.000 0.000
0.000 4.280 0.000
0.000 0.000 4.280
Be S
1 4
Direct
0.000 0.000 0.000 Be
0.000 0.000 0.500 S
0.000 0.500 0.000 S
0.500 0.000 0.000 S
0.500 0.500 0.500 S

Most stable = *1*